No. 1
First-principles (PBE-GGA) data for a relaxed structure of HoThHg2, as listed in the Alexandria database.

Computed properties:
volume: 106 Å³ per cell
uncorrected energy: -3.49 eV/atom
calculated formation energy: -0.34 eV per atom
SG: P4/mmm (123)

Lattice parameters (Å, degrees): 3.6285 3.6285 8.0634 90.00 90.00 90.00
Positions (direct):
Ho (0.0000, 0.0000, 0.0000)
Th (0.0000, 0.0000, 0.5000)
Hg (0.5000, 0.5000, 0.2286)
Hg (0.5000, 0.5000, 0.7714)

---

No. 2
First-principles (PBE-GGA) data for a relaxed structure of Y2AgP, as listed in the Alexandria database.

Computed properties:
volume: 418 Å³ per cell
uncorrected energy: -5.83 eV/atom
calculated formation energy: -0.54 eV per atom
SG: I-42d (122)

Lattice parameters (Å, degrees): 7.5350 7.5350 7.3700 90.00 90.00 90.00
Positions (direct):
Y (0.2279, 0.7500, 0.1250)
Y (0.2500, 0.2279, 0.8750)
Y (0.2500, 0.2721, 0.3750)
Y (0.2721, 0.7500, 0.6250)
Y (0.7279, 0.2500, 0.6250)
Y (0.7500, 0.7279, 0.3750)
Y (0.7500, 0.7721, 0.8750)
Y (0.7721, 0.2500, 0.1250)
Ag (0.0000, 0.0000, 0.5000)
Ag (0.0000, 0.5000, 0.7500)
Ag (0.5000, 0.0000, 0.2500)
Ag (0.5000, 0.5000, 0.0000)
P (0.0000, 0.0000, 0.0000)
P (0.0000, 0.5000, 0.2500)
P (0.5000, 0.0000, 0.7500)
P (0.5000, 0.5000, 0.5000)